Tm2SiGePd: relaxed, PBE.

Results
magnetization	0.5	Bohr magnetons per cell
symmetry	C2/m (12)
total energy	-5.78	eV/atom

abc: 5.662 5.662 10.115
angles: 116.02 116.02 43.81
Positions (direct):
Tm1 0.000 0.000 0.174
Tm2 0.000 0.000 0.826
Tm3 0.183 0.183 0.610
Tm4 0.817 0.817 0.390
Si1 0.368 0.368 0.932
Si2 0.632 0.632 0.068
Ge1 0.472 0.472 0.617
Ge2 0.528 0.528 0.383
Pd1 0.272 0.272 0.130
Pd2 0.728 0.728 0.870

***

BaPdSeO: relaxed, PBE.

Results
symmetry	P2_12_12_1 (19)
polymorph energy (0 for the lowest one)	167	meV per atom

abc: 6.431 7.711 7.889
angles: 90.00 90.00 90.00
Positions (direct):
Ba1 0.110 0.196 0.319
Ba2 0.390 0.804 0.819
Ba3 0.610 0.304 0.681
Ba4 0.890 0.696 0.181
Pd1 0.064 0.124 0.740
Pd2 0.436 0.876 0.240
Pd3 0.564 0.376 0.260
Pd4 0.936 0.624 0.760
Se1 0.124 0.386 0.905
Se2 0.376 0.614 0.405
Se3 0.624 0.114 0.095
Se4 0.876 0.886 0.595
O1 0.115 0.522 0.383
O2 0.385 0.478 0.883
O3 0.615 0.978 0.617
O4 0.885 0.022 0.117

***

Volume values, unit Å³ per cell, following the record order: 197.81; 391.25.